# 1
Below is a crystal of CsZr2ZnMo relaxed with PBEsol, with properties calculated at the meta-GGA SCAN level.

Cell: 5.1424 5.1424 4.8224 Å, 90.00 90.00 90.00°
Last column: nearest neighbours and their distance in Å.
Space group P4/mmm (No. 123)
Symmetry-distinct sites (fractional):
Cs (0.0000, 0.0000, 0.0000)  2 Mo 2.41, 4 Zr 2.57
Zr (0.0000, 0.5000, 0.0000)  2 Cs 2.57
Zn (0.5000, 0.5000, 0.5000)  8 Zr 3.52, 4 Mo 3.64
Mo (0.0000, 0.0000, 0.5000)  2 Cs 2.41

Output
- magnetic moment (μB per cell) = 0.0
- calculated formation energy (meV per atom) = 2413
- calculated total energy (eV per cell) = -135.5

# 2
Below is a crystal of Ni2Pt2Pb relaxed with PBEsol, with properties calculated at the meta-GGA SCAN level.

Cell: 3.5724 3.5724 12.5995 Å, 90.00 90.00 90.00°
Last column: nearest neighbours and their distance in Å.
Space group I4/mmm (No. 139)
Symmetry-distinct sites (fractional):
Ni (0.0000, 0.5000, 0.2500)  4 Pt 2.50, 4 Ni 2.53
Pt (0.0000, 0.0000, 0.1109)  4 Ni 2.50, 1 Pt 2.79
Pb (0.0000, 0.0000, 0.5000)  8 Pt 2.89

Output
- magnetic moment (μB per cell) = 4.7
- calculated formation energy (meV per atom) = 174
- calculated total energy (eV per cell) = -495.3

# 3
Below is a crystal of ScPOs2 relaxed with PBEsol, with properties calculated at the meta-GGA SCAN level.

Cell: 2.9519 2.9519 6.6038 Å, 90.00 90.00 90.00°
Last column: nearest neighbours and their distance in Å.
Space group P4/mmm (No. 123)
Symmetry-distinct sites (fractional):
Sc (0.0000, 0.0000, 0.0000)  8 Os 2.84, 4 Sc 2.95
P (0.0000, 0.0000, 0.5000)  8 Os 2.50
Os (0.5000, 0.5000, 0.2918)  4 P 2.50, 1 Os 2.75

Output
- magnetic moment (μB per cell) = 0.0
- calculated formation energy (meV per atom) = -274
- calculated total energy (eV per cell) = -169.5

# 4
Below is a crystal of ZrAlSi2N relaxed with PBEsol, with properties calculated at the meta-GGA SCAN level.

Cell: 5.1665 5.1665 4.0471 Å, 90.00 90.00 90.00°
Last column: nearest neighbours and their distance in Å.
Space group P4/mmm (No. 123)
Symmetry-distinct sites (fractional):
Zr (0.0000, 0.0000, 0.0000)  2 N 2.02
Al (0.5000, 0.5000, 0.5000)  8 Si 3.28, 4 N 3.65
Si (0.0000, 0.5000, 0.0000)  2 Zr 2.58
N (0.0000, 0.0000, 0.5000)  2 Zr 2.02

Output
- magnetic moment (μB per cell) = 0.0
- calculated total energy (eV per cell) = -63.4

# 5
Below is a crystal of KCrIr2 relaxed with PBEsol, with properties calculated at the meta-GGA SCAN level.

Cell: 2.7788 4.7563 4.9482 Å, 90.00 90.00 90.00°
Last column: nearest neighbours and their distance in Å.
Space group Pmmm (No. 47)
Symmetry-distinct sites (fractional):
K (0.0000, 0.0000, 0.0000)  4 Cr 2.75, 2 K 2.78, 4 Ir 2.84
Cr (0.5000, 0.5000, 0.0000)  4 K 2.75, 2 Cr 2.78, 4 Ir 2.84
Ir (0.0000, 0.5000, 0.5000)  6 Ir 2.75-2.78, 4 Cr 2.84
Ir (0.5000, 0.0000, 0.5000)  6 Ir 2.75-2.78, 4 K 2.84

Output
- magnetic moment (μB per cell) = 3.7
- calculated formation energy (meV per atom) = 855
- calculated total energy (eV per cell) = -165.5

# 6
Below is a crystal of ZrIn3Ge relaxed with PBEsol, with properties calculated at the meta-GGA SCAN level.

Cell: 5.1034 5.1034 5.1034 Å, 90.00 90.00 90.00°
Last column: nearest neighbours and their distance in Å.
Space group Pm-3m (No. 221)
Symmetry-distinct sites (fractional):
Zr (0.0000, 0.0000, 0.0000)  12 In 3.61
In (0.0000, 0.5000, 0.5000)  2 Ge 2.55
Ge (0.5000, 0.5000, 0.5000)  6 In 2.55

Output
- magnetic moment (μB per cell) = 0.0
- calculated formation energy (meV per atom) = 730
- calculated total energy (eV per cell) = -146.3

# 7
Below is a crystal of Cs2NaYI6 relaxed with PBEsol, with properties calculated at the meta-GGA SCAN level.

Cell: 12.0800 12.0800 12.0800 Å, 90.00 90.00 90.00°
Last column: nearest neighbours and their distance in Å.
Space group Fm-3m (No. 225)
Symmetry-distinct sites (fractional):
Cs (0.2500, 0.2500, 0.2500)  12 I 4.27
Na (0.0000, 0.0000, 0.0000)  6 I 3.07
Y (0.0000, 0.0000, 0.5000)  6 I 2.97
I (0.0000, 0.0000, 0.2539)  1 Y 2.97, 1 Na 3.07

Output
- magnetic moment (μB per cell) = 0.0
- calculated total energy (eV per cell) = -1377.7

# 8
Below is a crystal of Re2HgCl relaxed with PBEsol, with properties calculated at the meta-GGA SCAN level.

Cell: 2.8660 2.8660 29.4226 Å, 90.00 90.00 120.00°
Last column: nearest neighbours and their distance in Å.
Space group R3m (No. 160, hexagonal axes)
Symmetry-distinct sites (fractional):
Re (0.0000, 0.0000, 0.0000)  9 Re 2.63-2.87
Re (0.0000, 0.0000, 0.2640)  3 Cl 2.52, 3 Re 2.63
Hg (0.0000, 0.0000, 0.7528)  6 Hg 2.87, 3 Re 3.03
Cl (0.0000, 0.0000, 0.5327)  3 Re 2.52

Output
- magnetic moment (μB per cell) = 0.0
- calculated total energy (eV per cell) = -651.2

# 9
Below is a crystal of Li2AlHg relaxed with PBEsol, with properties calculated at the meta-GGA SCAN level.

Cell: 2.9411 4.5329 5.0189 Å, 90.00 90.00 90.00°
Last column: nearest neighbours and their distance in Å.
Space group Pmm2 (No. 25)
Symmetry-distinct sites (fractional):
Li (0.0000, 0.0000, 0.0000)  4 Li 2.79-2.94, 4 Al 2.85, 4 Hg 2.90-2.92
Li (0.0000, 0.5000, 0.3234)  4 Li 2.79-2.94, 4 Hg 2.85, 4 Al 2.90-2.92
Al (0.5000, 0.5000, 0.8219)  2 Hg 2.78, 8 Li 2.85-2.92, 2 Al 2.94
Hg (0.5000, 0.0000, 0.5015)  2 Al 2.78, 8 Li 2.85-2.92, 2 Hg 2.94

Output
- magnetic moment (μB per cell) = 0.0
- calculated formation energy (meV per atom) = -299
- calculated total energy (eV per cell) = -81.9

# 10
Below is a crystal of AgSb3N relaxed with PBEsol, with properties calculated at the meta-GGA SCAN level.

Cell: 4.6895 4.6895 4.6895 Å, 90.00 90.00 90.00°
Last column: nearest neighbours and their distance in Å.
Space group Pm-3m (No. 221)
Symmetry-distinct sites (fractional):
Ag (0.0000, 0.0000, 0.0000)  12 Sb 3.32
Sb (0.0000, 0.5000, 0.5000)  2 N 2.34
N (0.5000, 0.5000, 0.5000)  6 Sb 2.34

Output
- magnetic moment (μB per cell) = 0.0
- calculated total energy (eV per cell) = -148.8

# 11
Below is a crystal of Hf2RhCl relaxed with PBEsol, with properties calculated at the meta-GGA SCAN level.

Cell: 6.5159 6.5159 6.5159 Å, 90.00 90.00 90.00°
Last column: nearest neighbours and their distance in Å.
Space group Fm-3m (No. 225)
Symmetry-distinct sites (fractional):
Hf (0.2500, 0.2500, 0.2500)  4 Cl 2.82, 4 Rh 2.82
Rh (0.0000, 0.0000, 0.0000)  8 Hf 2.82
Cl (0.0000, 0.0000, 0.5000)  8 Hf 2.82

Output
- magnetic moment (μB per cell) = 0.0
- calculated total energy (eV per cell) = -674.8

# 12
Below is a crystal of GeP3N relaxed with PBEsol, with properties calculated at the meta-GGA SCAN level.

Cell: 4.6610 4.6610 4.6610 Å, 90.00 90.00 90.00°
Last column: nearest neighbours and their distance in Å.
Space group Pm-3m (No. 221)
Symmetry-distinct sites (fractional):
Ge (0.0000, 0.0000, 0.0000)  6 P 2.33
P (0.0000, 0.0000, 0.5000)  2 Ge 2.33
N (0.5000, 0.5000, 0.5000)  12 P 3.30

Output
- magnetic moment (μB per cell) = 2.4
- calculated total energy (eV per cell) = -49.2

# 13
Below is a crystal of BeHgAu2 relaxed with PBEsol, with properties calculated at the meta-GGA SCAN level.

Cell: 2.8431 3.6161 12.9978 Å, 90.00 90.00 90.00°
Last column: nearest neighbours and their distance in Å.
Space group Amm2 (No. 38)
Symmetry-distinct sites (fractional):
Be (0.0000, 0.0000, 0.0000)  5 Au 2.40-2.50, 2 Hg 2.53
Hg (0.5000, 0.0000, 0.8387)  2 Be 2.53
Au (0.0000, 0.0000, 0.1925)  1 Be 2.50
Au (0.5000, 0.0000, 0.5537)  4 Be 2.40

Output
- magnetic moment (μB per cell) = 0.0
- calculated formation energy (meV per atom) = -68
- calculated total energy (eV per cell) = -422.2

# 14
Below is a crystal of Zr2OsBr relaxed with PBEsol, with properties calculated at the meta-GGA SCAN level.

Cell: 4.8276 4.8276 3.1280 Å, 90.00 90.00 90.00°
Last column: nearest neighbours and their distance in Å.
Space group P4/mmm (No. 123)
Symmetry-distinct sites (fractional):
Zr (0.0000, 0.5000, 0.0000)  4 Br 2.88, 4 Os 2.88, 2 Zr 3.13
Os (0.0000, 0.0000, 0.5000)  8 Zr 2.88, 2 Os 3.13
Br (0.5000, 0.5000, 0.5000)  8 Zr 2.88, 2 Br 3.13

Output
- magnetic moment (μB per cell) = 0.0
- calculated total energy (eV per cell) = -153.4

# 15
Below is a crystal of CdSn2Hg relaxed with PBEsol, with properties calculated at the meta-GGA SCAN level.

Cell: 8.1490 8.1490 6.0683 Å, 90.00 90.00 90.00°
Last column: nearest neighbours and their distance in Å.
Space group I-42d (No. 122)
Symmetry-distinct sites (fractional):
Cd (0.0000, 0.0000, 0.0000)  4 Sn 2.99, 2 Hg 3.03
Sn (0.2474, 0.7500, 0.6250)  2 Hg 2.97, 2 Cd 2.99, 2 Sn 3.03
Hg (0.0000, 0.0000, 0.5000)  4 Sn 2.97, 2 Cd 3.03

Output
- magnetic moment (μB per cell) = 0.0
- calculated formation energy (meV per atom) = 135
- calculated total energy (eV per cell) = -679.5